(1)
{
  "formula": "LaFe2Te",
  "functional": "PBE-GGA",
  "state": "optimized geometry",
  "dos_ef_per_ev_cell": 5.31,
  "volume_a3_per_cell": 82.5,
  "formation_energy_uncorrected_ev_per_atom": 0.16,
  "lattice_angstrom": [[-3.9242, 1.2099, 1.7929], [-0.0989, -3.8105, 2.3554], [1.9807, 1.8546, 3.0836]],
  "species": ["Fe", "Fe", "La", "Te"],
  "fractional_positions": [[0.0000, 0.0000, 0.0000], [0.5000, 0.5000, 0.0000], [0.5000, 0.0000, 0.5000], [0.0000, 0.5000, 0.5000]]
}

(2)
{
  "formula": "LiPtI4",
  "functional": "PBE-GGA",
  "state": "optimized geometry",
  "dos_ef_per_ev_cell": 3.96,
  "volume_a3_per_cell": 205.8,
  "formation_energy_uncorrected_ev_per_atom": -0.43,
  "lattice_angstrom": [[4.1289, 0.0000, 0.0000], [0.0000, 6.9335, -2.1442], [0.0000, 0.3050, 7.0957]],
  "species": ["Li", "Pt", "I", "I", "I", "I"],
  "fractional_positions": [[0.0000, 0.5000, 0.5000], [0.5000, 0.5000, 0.0000], [0.0000, 0.2791, 0.7895], [0.0000, 0.7209, 0.2105], [0.5000, 0.2745, 0.2509], [0.5000, 0.7255, 0.7491]]
}

(3)
{
  "formula": "Sc2CuSi",
  "functional": "PBE-GGA",
  "state": "optimized geometry",
  "dos_ef_per_ev_cell": 3.07,
  "volume_a3_per_cell": 70.7,
  "formation_energy_uncorrected_ev_per_atom": -0.43,
  "lattice_angstrom": [[5.5456, -0.0441, -0.0150], [4.5191, 3.2146, -0.0150], [1.6770, 0.5283, 3.9176]],
  "species": ["Cu", "Sc", "Sc", "Si"],
  "fractional_positions": [[0.7830, 0.7830, 0.7173], [0.0131, 0.0131, 0.9868], [0.2413, 0.2413, 0.2587], [0.4626, 0.4626, 0.5373]]
}

In eV per atom, the total DFT energy (no corrections) values for the records above are, in order, -6.092; -2.790; -5.974.